Entry 1:
KSrCa2 | GGA-PBEsol | relaxed

Lattice parameters (Å, degrees): 3.995 3.995 12.247 90.00 90.00 90.00
Space group P4mm (No. 99)
One atom of each set of equivalent atoms:
1 K 0.000 0.000 0.000
2 Sr 0.500 0.500 0.288
3 Ca 0.000 0.000 0.521
4 Ca 0.500 0.500 0.733

Computed properties:
Energy relative to the elements in eV/atom: 0.083
Energy above the lowest structure with this stoichiometry in meV/atom: 0
DFT total energy in eV/atom: -1.727
Magnetization in μB/atom: 0.000
Density of states at the Fermi level in states/eV/cell: 4.28

***

Entry 2:
KSrCa | GGA-PBEsol | relaxed

Lattice parameters (Å, degrees): 9.062 9.062 9.062 90.00 90.00 90.00
Space group F-43m (No. 216)
One atom of each set of equivalent atoms:
1 K 0.000 0.000 0.000
2 Sr 0.250 0.250 0.750
3 Ca 0.250 0.250 0.250

Computed properties:
Energy relative to the elements in eV/atom: 0.510
DFT total energy in eV/atom: -1.193
Magnetization in μB/atom: 0.000
Density of states at the Fermi level in states/eV/cell: 16.02